(1)
Entry from the Alexandria database: a geometry-optimized BeMoOs2 structure (PBE).

Cell: 2.9446 4.4810 4.1772 Å, 90.00 90.00 90.00°
With the nearest neighbours (Å) after each atom.
Element x y z (fractional)
Os1 0.0000 0.0000 0.0000  4 Be 2.56, 4 Os 2.68
Os2 0.5000 0.5000 0.0000  4 Mo 2.56, 4 Os 2.68
Be1 0.5000 0.0000 0.5000  4 Os 2.56, 4 Mo 2.68
Mo1 0.0000 0.5000 0.5000  4 Os 2.56, 4 Be 2.68

Summary:
formation enthalpy at 0 K = 117 kJ/mol of formula units
SG = Pmmm (47)
density of states at the Fermi level = 2.7 states/eV per cell
magnetization = 0.00 μB per cell

(2)
Entry from the Alexandria database: a geometry-optimized Ac3Mg12Al5 structure (PBE).

Cell: 15.1470 15.1470 15.1470 Å, 109.47 109.47 109.47°
With the nearest neighbours (Å) after each atom.
Element x y z (fractional)
Al1 0.6250 0.8750 0.2500  4 Mg 2.67
Al2 0.8750 0.6250 0.7500  4 Mg 2.67
Al3 0.0000 0.5000 0.0000  6 Mg 2.65
Al4 0.5000 0.0000 0.0000  6 Mg 2.65
Al5 0.5000 0.5000 0.0000  6 Mg 2.65
Al6 0.5000 0.0000 0.5000  6 Mg 2.65
Al7 0.7500 0.1250 0.8750  4 Mg 2.67
Al8 0.1250 0.7500 0.3750  4 Mg 2.67
Al9 0.6250 0.7500 0.8750  4 Mg 2.67
Al10 0.2500 0.8750 0.1250  4 Mg 2.67
Al11 0.0000 0.0000 0.0000  6 Mg 2.65
Al12 0.3750 0.2500 0.1250  4 Mg 2.67
Al13 0.1250 0.3750 0.2500  4 Mg 2.67
Al14 0.3750 0.1250 0.7500  4 Mg 2.67
Al15 0.0000 0.5000 0.5000  6 Mg 2.65
Al16 0.7500 0.6250 0.3750  4 Mg 2.67
Al17 0.8750 0.2500 0.6250  4 Mg 2.67
Al18 0.2500 0.3750 0.6250  4 Mg 2.67
Al19 0.5000 0.5000 0.5000  6 Mg 2.65
Al20 0.0000 0.0000 0.5000  6 Mg 2.65
Mg1 0.5133 0.6917 0.0605  2 Al 2.65-2.67, 1 Mg 2.95
Mg2 0.8216 0.5133 0.4528  2 Al 2.65-2.67, 1 Mg 2.95
Mg3 0.1312 0.1917 0.1784  2 Al 2.65-2.67, 1 Mg 2.95
Mg4 0.1784 0.4867 0.5472  2 Al 2.65-2.67, 1 Mg 2.95
Mg5 0.5605 0.0133 0.6917  2 Al 2.65-2.67, 1 Mg 2.95
Mg6 0.5605 0.5472 0.3688  2 Al 2.65-2.67, 1 Mg 2.95
Mg7 0.6784 0.6312 0.1917  2 Al 2.65-2.67, 1 Mg 2.95
Mg8 0.6784 0.0472 0.9867  2 Al 2.65-2.67, 1 Mg 2.95
Mg9 0.4528 0.4395 0.1312  2 Al 2.65-2.67, 1 Mg 2.95
Mg10 0.0472 0.6784 0.4867  2 Al 2.65-2.67, 1 Mg 2.95
Mg11 0.4395 0.9867 0.3083  2 Al 2.65-2.67, 1 Mg 2.95
Mg12 0.8083 0.9395 0.9867  2 Al 2.65-2.67, 1 Mg 2.95
Mg13 0.3216 0.3688 0.8083  2 Al 2.65-2.67, 1 Mg 2.95
Mg14 0.5472 0.5605 0.8688  2 Al 2.65-2.67, 1 Mg 2.95
Mg15 0.1917 0.1312 0.6784  2 Al 2.65-2.67, 1 Mg 2.95
Mg16 0.3688 0.3216 0.3083  2 Al 2.65-2.67, 1 Mg 2.95
Mg17 0.9867 0.5472 0.6784  2 Al 2.65-2.67, 1 Mg 2.95
Mg18 0.6917 0.5133 0.5605  2 Al 2.65-2.67, 1 Mg 2.95
Mg19 0.4395 0.4528 0.6312  2 Al 2.65-2.67, 1 Mg 2.95
Mg20 0.5472 0.9867 0.1784  2 Al 2.65-2.67, 1 Mg 2.95
Mg21 0.6312 0.6784 0.6917  2 Al 2.65-2.67, 1 Mg 2.95
Mg22 0.9395 0.8083 0.4867  2 Al 2.65-2.67, 1 Mg 2.95
Mg23 0.4528 0.0133 0.8216  2 Al 2.65-2.67, 1 Mg 2.95
Mg24 0.0133 0.4528 0.3216  2 Al 2.65-2.67, 1 Mg 2.95
Mg25 0.1784 0.6917 0.1312  2 Al 2.65-2.67, 1 Mg 2.95
Mg26 0.6312 0.9528 0.4395  2 Al 2.65-2.67, 1 Mg 2.95
Mg27 0.1917 0.0605 0.0133  2 Al 2.65-2.67, 1 Mg 2.95
Mg28 0.8688 0.8083 0.8216  2 Al 2.65-2.67, 1 Mg 2.95
Mg29 0.3083 0.4867 0.4395  2 Al 2.65-2.67, 1 Mg 2.95
Mg30 0.0133 0.5605 0.1917  2 Al 2.65-2.67, 1 Mg 2.95
Mg31 0.8688 0.0605 0.5472  2 Al 2.65-2.67, 1 Mg 2.95
Mg32 0.9395 0.1312 0.9528  2 Al 2.65-2.67, 1 Mg 2.95
Mg33 0.4867 0.1784 0.0472  2 Al 2.65-2.67, 1 Mg 2.95
Mg34 0.9867 0.4395 0.8083  2 Al 2.65-2.67, 1 Mg 2.95
Mg35 0.0605 0.8688 0.0472  2 Al 2.65-2.67, 1 Mg 2.95
Mg36 0.6917 0.1784 0.6312  2 Al 2.65-2.67, 1 Mg 2.95
Mg37 0.9528 0.6312 0.9395  2 Al 2.65-2.67, 1 Mg 2.95
Mg38 0.8083 0.8688 0.3216  2 Al 2.65-2.67, 1 Mg 2.95
Mg39 0.1312 0.9395 0.4528  2 Al 2.65-2.67, 1 Mg 2.95
Mg40 0.4867 0.3083 0.9395  2 Al 2.65-2.67, 1 Mg 2.95
Mg41 0.3083 0.8216 0.3688  2 Al 2.65-2.67, 1 Mg 2.95
Mg42 0.3688 0.0472 0.5605  2 Al 2.65-2.67, 1 Mg 2.95
Mg43 0.8216 0.3083 0.8688  2 Al 2.65-2.67, 1 Mg 2.95
Mg44 0.0472 0.3688 0.0605  2 Al 2.65-2.67, 1 Mg 2.95
Mg45 0.9528 0.3216 0.5133  2 Al 2.65-2.67, 1 Mg 2.95
Mg46 0.3216 0.9528 0.0133  2 Al 2.65-2.67, 1 Mg 2.95
Mg47 0.5133 0.8216 0.9528  2 Al 2.65-2.67, 1 Mg 2.95
Mg48 0.0605 0.1917 0.5133  2 Al 2.65-2.67, 1 Mg 2.95
Ac1 0.6250 0.2500 0.3750  4 Mg 3.57
Ac2 0.1250 0.2500 0.8750  4 Mg 3.57
Ac3 0.8750 0.7500 0.1250  4 Mg 3.57
Ac4 0.1250 0.8750 0.7500  4 Mg 3.57
Ac5 0.7500 0.8750 0.6250  4 Mg 3.57
Ac6 0.7500 0.3750 0.1250  4 Mg 3.57
Ac7 0.3750 0.6250 0.2500  4 Mg 3.57
Ac8 0.2500 0.1250 0.3750  4 Mg 3.57
Ac9 0.6250 0.3750 0.7500  4 Mg 3.57
Ac10 0.8750 0.1250 0.2500  4 Mg 3.57
Ac11 0.3750 0.7500 0.6250  4 Mg 3.57
Ac12 0.2500 0.6250 0.8750  4 Mg 3.57

Summary:
formation enthalpy at 0 K = 906 kJ/mol of formula units
SG = Ia-3d (230)
density of states at the Fermi level = 55.5 states/eV per cell
magnetization = 0.00 μB per cell

What did the first record say?
Entry from the Alexandria database: a geometry-optimized BeMoOs2 structure (PBE).

Cell: 2.9446 4.4810 4.1772 Å, 90.00 90.00 90.00°
With the nearest neighbours (Å) after each atom.
Element x y z (fractional)
Os1 0.0000 0.0000 0.0000  4 Be 2.56, 4 Os 2.68
Os2 0.5000 0.5000 0.0000  4 Mo 2.56, 4 Os 2.68
Be1 0.5000 0.0000 0.5000  4 Os 2.56, 4 Mo 2.68
Mo1 0.0000 0.5000 0.5000  4 Os 2.56, 4 Be 2.68

Summary:
formation enthalpy at 0 K = 117 kJ/mol of formula units
SG = Pmmm (47)
density of states at the Fermi level = 2.7 states/eV per cell
magnetization = 0.00 μB per cell

Question: Which of these has the lowest density of states at the Fermi level?
Answer: BeMoOs2